1.
Density functional theory data (GGA-PBE) for crystalline LiPmNpIr at its relaxed geometry.

```
data_LiPmNpIr
_symmetry_space_group_name_H-M 'F -4 3 m'
_symmetry_Int_Tables_number 216
_symmetry_space_group_name_Hall 'F -4 2 3'
_cell_length_a 7.029
_cell_length_b 7.029
_cell_length_c 7.029
_cell_angle_alpha 90.00
_cell_angle_beta 90.00
_cell_angle_gamma 90.00
loop_
_atom_site_label
_atom_site_type_symbol
_atom_site_fract_x
_atom_site_fract_y
_atom_site_fract_z
Li1 Li 0.000 0.000 0.000
Pm1 Pm 0.250 0.250 0.250
Np1 Np 0.250 0.250 0.750
Ir1 Ir 0.000 0.000 0.500
```

## Properties
- magnetic moment (μB per formula unit) = 4.6
- total energy (eV per atom) = -7.19

=====

2.
Density functional theory data (GGA-PBE) for crystalline LiPuNpIr at its relaxed geometry.

```
data_LiPuNpIr
_symmetry_space_group_name_H-M 'F -4 3 m'
_symmetry_Int_Tables_number 216
_symmetry_space_group_name_Hall 'F -4 2 3'
_cell_length_a 6.884
_cell_length_b 6.884
_cell_length_c 6.884
_cell_angle_alpha 90.00
_cell_angle_beta 90.00
_cell_angle_gamma 90.00
loop_
_atom_site_label
_atom_site_type_symbol
_atom_site_fract_x
_atom_site_fract_y
_atom_site_fract_z
Li1 Li 0.000 0.000 0.000
Pu1 Pu 0.250 0.250 0.750
Np1 Np 0.250 0.250 0.250
Ir1 Ir 0.000 0.000 0.500
```

## Properties
- magnetic moment (μB per formula unit) = 9.6
- total energy (eV per atom) = -9.55

=====

3.
Density functional theory data (GGA-PBE) for crystalline LiNpIrRh at its relaxed geometry.

```
data_LiNpIrRh
_symmetry_space_group_name_H-M 'F -4 3 m'
_symmetry_Int_Tables_number 216
_symmetry_space_group_name_Hall 'F -4 2 3'
_cell_length_a 6.432
_cell_length_b 6.432
_cell_length_c 6.432
_cell_angle_alpha 90.00
_cell_angle_beta 90.00
_cell_angle_gamma 90.00
loop_
_atom_site_label
_atom_site_type_symbol
_atom_site_fract_x
_atom_site_fract_y
_atom_site_fract_z
Li1 Li 0.000 0.000 0.000
Np1 Np 0.000 0.000 0.500
Ir1 Ir 0.250 0.250 0.750
Rh1 Rh 0.250 0.250 0.250
```

## Properties
- magnetic moment (μB per formula unit) = 3.1
- total energy (eV per atom) = -8.09

=====

4.
Density functional theory data (GGA-PBE) for crystalline LiNpIrRu at its relaxed geometry.

```
data_LiNpIrRu
_symmetry_space_group_name_H-M 'F -4 3 m'
_symmetry_Int_Tables_number 216
_symmetry_space_group_name_Hall 'F -4 2 3'
_cell_length_a 6.380
_cell_length_b 6.380
_cell_length_c 6.380
_cell_angle_alpha 90.00
_cell_angle_beta 90.00
_cell_angle_gamma 90.00
loop_
_atom_site_label
_atom_site_type_symbol
_atom_site_fract_x
_atom_site_fract_y
_atom_site_fract_z
Li1 Li 0.000 0.000 0.000
Np1 Np 0.000 0.000 0.500
Ir1 Ir 0.250 0.250 0.250
Ru1 Ru 0.250 0.250 0.750
```

## Properties
- magnetic moment (μB per formula unit) = 2.8
- total energy (eV per atom) = -8.41

=====

| no. | ΔH_f (0 K) (kcal/mol of atoms) |
| --- | --- |
| 1 | -1.78 |
| 2 | -0.81 |
| 3 | -7.35 |
| 4 | -3.82 |